Record 1
AcPbN | GGA-PBE | relaxed

Properties
Space-group type: P-1 (2)
Offset from the most stable computed form in eV per atom: 0.106
Formation energy from raw total energies in kJ/mol of formula units: -135

abc: 3.6232 3.6389 12.7949
angles: 90.06 90.41 90.06
With the nearest neighbours (Å) after each atom.
Fractional positions:
1 Ac 0.2497 0.2485 0.3341  4 N 2.60-2.61
2 Ac 0.7503 0.7515 0.6659  4 N 2.60-2.61
3 Pb 0.2539 0.2515 0.8903  1 N 2.43
4 Pb 0.7461 0.7485 0.1097  1 N 2.43
5 N 0.2518 0.2512 0.7005  1 Pb 2.43, 4 Ac 2.60-2.61
6 N 0.7482 0.7488 0.2995  1 Pb 2.43, 4 Ac 2.60-2.61

---

Record 2
LaCdB | GGA-PBE | relaxed

Properties
Energy relative to the elements in eV per atom: 0.21
Space-group type: Cm (8)
Offset from the most stable computed form in eV per atom: 0.555

abc: 5.1323 5.1323 6.9521
angles: 97.50 97.50 47.84
With the nearest neighbours (Å) after each atom.
Fractional positions:
1 La 0.0000 0.0000 0.0000  4 B 2.78-2.94, 1 La 3.06
2 La 0.2076 0.2076 0.6989  5 B 2.78-2.94, 1 La 3.06
3 Cd 0.4677 0.4677 0.4461  2 B 2.41
4 Cd 0.7379 0.7379 0.2913  2 B 2.28-2.33
5 B 0.6905 0.6905 0.9602  1 Cd 2.28
6 B 0.8984 0.8984 0.5801  3 Cd 2.33-2.41

---

Record 3
Na2SrIO6 | GGA-PBE | relaxed

Properties
Space-group type: R-3 (148)
Formation energy from raw total energies in kJ/mol of formula units: -1254

abc: 5.9014 5.9014 5.9014
angles: 60.49 60.49 60.49
With the nearest neighbours (Å) after each atom.
Fractional positions:
1 Na 0.2299 0.2299 0.2299  3 O 2.38
2 Na 0.7701 0.7701 0.7701  3 O 2.38
3 Sr 0.5000 0.5000 0.5000  6 O 2.50
4 I 0.0000 0.0000 0.0000  6 O 1.90
5 O 0.1039 0.8052 0.3211  1 I 1.90
6 O 0.1948 0.6789 0.8961  1 I 1.90
7 O 0.3211 0.1039 0.8052  1 I 1.90
8 O 0.6789 0.8961 0.1948  1 I 1.90
9 O 0.8052 0.3211 0.1039  1 I 1.90
10 O 0.8961 0.1948 0.6789  1 I 1.90

---

Record 4
Na2AlBSe4 | GGA-PBE | relaxed

Properties
Space-group type: Fddd (70)
Formation energy from raw total energies in kJ/mol of formula units: -513

abc: 13.6849 12.3898 7.0876
angles: 84.62 64.34 31.04
With the nearest neighbours (Å) after each atom.
Fractional positions:
1 Na 0.0786 0.0786 0.6714  4 Se 3.06-3.32
2 Na 0.3286 0.3286 0.9214  4 Se 3.06-3.32
3 Na 0.6714 0.6714 0.0786  4 Se 3.06-3.32
4 Na 0.9214 0.9214 0.3286  4 Se 3.06-3.32
5 Al 0.1250 0.1250 0.1250  4 Se 2.38
6 Al 0.8750 0.8750 0.8750  4 Se 2.38
7 B 0.3750 0.3750 0.3750  4 Se 2.11
8 B 0.6250 0.6250 0.6250  4 Se 2.11
9 Se 0.0169 0.6341 0.5413  1 B 2.11
10 Se 0.3077 0.5413 0.6341  1 B 2.11
11 Se 0.3659 0.9831 0.6923  1 B 2.11
12 Se 0.4587 0.6923 0.9831  1 B 2.11
13 Se 0.5413 0.3077 0.0169  1 B 2.11
14 Se 0.6341 0.0169 0.3077  1 B 2.11
15 Se 0.6923 0.4587 0.3659  1 B 2.11
16 Se 0.9831 0.3659 0.4587  1 B 2.11

---

Record 5
Sr2TmGaSe5 | GGA-PBE | relaxed

Properties
Space-group type: Cmc2_1 (36)
Formation energy from raw total energies in kJ/mol of formula units: -1406

abc: 9.5615 9.5615 12.8749
angles: 90.00 90.00 155.25
With the nearest neighbours (Å) after each atom.
Fractional positions:
1 Sr 0.1192 0.8808 0.5000  7 Se 3.11-3.40
2 Sr 0.1253 0.8747 0.1405  6 Se 3.14-3.20
3 Sr 0.8747 0.1253 0.6405  6 Se 3.14-3.20
4 Sr 0.8808 0.1192 0.0000  7 Se 3.11-3.40
5 Tm 0.2075 0.7925 0.8432  6 Se 2.75-3.00
6 Tm 0.7925 0.2075 0.3432  6 Se 2.75-3.00
7 Ga 0.4408 0.5592 0.2499  4 Se 2.38-2.50
8 Ga 0.5592 0.4408 0.7499  4 Se 2.38-2.50
9 Se 0.0473 0.9527 0.8603  2 Ga 2.50
10 Se 0.2933 0.7067 0.4908  2 Tm 2.79
11 Se 0.3143 0.6857 0.1873  1 Ga 2.50
12 Se 0.3538 0.6462 0.8228  1 Tm 2.75
13 Se 0.4990 0.5010 0.5874  1 Ga 2.38
14 Se 0.5010 0.4990 0.0874  1 Ga 2.38
15 Se 0.6462 0.3538 0.3228  1 Tm 2.75
16 Se 0.6857 0.3143 0.6873  1 Ga 2.50
17 Se 0.7067 0.2933 0.9908  2 Tm 2.79
18 Se 0.9527 0.0473 0.3603  2 Ga 2.50

---

Record 6
ZnSb2Os | GGA-PBE | relaxed

Properties
Space-group type: I-4m2 (119)
Formation energy from raw total energies in kJ/mol of formula units: 254

abc: 5.3680 5.3680 5.3680
angles: 134.40 134.40 66.46
With the nearest neighbours (Å) after each atom.
Fractional positions:
1 Zn 0.0000 0.0000 0.0000  8 Sb 2.94-3.06, 4 Os 3.06
2 Sb 0.5000 0.5000 0.0000  4 Zn 2.94, 4 Sb 3.06, 4 Os 3.06
3 Sb 0.7500 0.2500 0.5000  4 Os 2.94, 4 Sb 3.06, 4 Zn 3.06
4 Os 0.2500 0.7500 0.5000  8 Sb 2.94-3.06, 4 Zn 3.06

---

Record 7
Pr2SmCu6 | GGA-PBE | relaxed

Properties
Energy relative to the elements in eV per atom: -0.21
Space-group type: P6/mmm (191)

abc: 7.4283 7.4283 3.7676
angles: 90.00 90.00 120.00
With the nearest neighbours (Å) after each atom.
Fractional positions:
1 Pr 0.3333 0.6667 0.0000  12 Cu 3.12
2 Pr 0.6667 0.3333 0.0000  12 Cu 3.12
3 Sm 0.0000 0.0000 0.0000  12 Cu 3.10
4 Cu 0.0000 0.3319 0.5000  3 Cu 2.47-2.50
5 Cu 0.0000 0.6681 0.5000  3 Cu 2.47-2.50
6 Cu 0.3319 0.0000 0.5000  3 Cu 2.47-2.50
7 Cu 0.3319 0.3319 0.5000  3 Cu 2.47-2.50
8 Cu 0.6681 0.0000 0.5000  3 Cu 2.47-2.50
9 Cu 0.6681 0.6681 0.5000  3 Cu 2.47-2.50

---

Record 8
CaCF2 | GGA-PBE | relaxed

Properties
Space-group type: I-42d (122)
Offset from the most stable computed form in eV per atom: 0.155
Formation energy from raw total energies in kJ/mol of formula units: -330

abc: 7.7327 7.7327 7.7327
angles: 149.31 149.31 43.95
With the nearest neighbours (Å) after each atom.
Fractional positions:
1 Ca 0.0000 0.0000 0.0000  4 F 2.28
2 Ca 0.7500 0.2500 0.5000  4 F 2.28
3 C 0.2500 0.7500 0.5000  4 F 2.33
4 C 0.5000 0.5000 0.0000  4 F 2.33
5 F 0.1115 0.6250 0.9865  2 Ca 2.28, 2 C 2.33
6 F 0.3750 0.3615 0.4865  2 Ca 2.28, 2 C 2.33
7 F 0.6385 0.1250 0.0135  2 Ca 2.28, 2 C 2.33
8 F 0.8750 0.8885 0.5135  2 Ca 2.28, 2 C 2.33